1.
Compound: TaPt2Au
Source: Alexandria via LeMat-Bulk
Functional: PBE-GGA
Structure: relaxed

a b c (Å): 9.6057 9.6057 9.6057
angles (deg): 17.14 17.14 17.14
Last column: nearest neighbours and their distance in Å.
Element x y z (fractional)
Au  0.7500  0.7500  0.7500  6 Au 2.86, 6 Pt 2.99
Pt  0.9957  0.9957  0.9957  3 Ta 2.79, 6 Pt 2.86, 3 Au 2.99
Pt  0.5043  0.5043  0.5043  3 Ta 2.79, 6 Pt 2.86, 3 Au 2.99
Ta  0.2500  0.2500  0.2500  6 Pt 2.79, 6 Ta 2.86

Results
VASP energy   -7.115 eV/atom

2.
Compound: YRu3N
Source: Alexandria via LeMat-Bulk
Functional: PBE-GGA
Structure: relaxed

a b c (Å): 4.1623 4.1623 4.1623
angles (deg): 90.00 90.00 90.00
Last column: nearest neighbours and their distance in Å.
Element x y z (fractional)
Y  0.5000  0.5000  0.5000  12 Ru 2.94
Ru  0.0000  0.5000  0.0000  2 N 2.08
Ru  0.0000  0.0000  0.5000  2 N 2.08
Ru  0.5000  0.0000  0.0000  2 N 2.08
N  0.0000  0.0000  0.0000  6 Ru 2.08

Results
VASP energy   -8.684 eV/atom

3.
Compound: Sr3PbN
Source: Alexandria via LeMat-Bulk
Functional: PBE-GGA
Structure: relaxed

a b c (Å): 8.2720 6.5475 7.5741
angles (deg): 54.67 117.11 105.27
Last column: nearest neighbours and their distance in Å.
Element x y z (fractional)
Pb  0.2022  0.9670  0.7132  10 Sr 3.68-3.78, 2 Pb 3.79
Pb  0.2021  0.9670  0.2132  10 Sr 3.68-3.78, 2 Pb 3.79
Sr  0.9484  0.4668  0.5860  2 N 2.62
Sr  0.7022  0.9673  0.4633  2 N 2.67
Sr  0.4561  0.4673  0.8405  2 N 2.62
Sr  0.4561  0.4673  0.3407  2 N 2.62
Sr  0.7022  0.9668  0.9635  2 N 2.67
Sr  0.9484  0.4669  0.0858  2 N 2.62
N  0.7022  0.4672  0.2131  6 Sr 2.62-2.67
N  0.7022  0.4672  0.7131  6 Sr 2.62-2.67

Results
VASP energy   -3.933 eV/atom

4.
Compound: La2Np3Se8
Source: Alexandria via LeMat-Bulk
Functional: PBE-GGA
Structure: relaxed

a b c (Å): 4.9839 9.9783 8.7534
angles (deg): 124.75 90.00 90.00
Last column: nearest neighbours and their distance in Å.
Element x y z (fractional)
La  0.5000  0.2684  0.5367  6 Se 2.96-3.20
La  0.5000  0.7316  0.4633  6 Se 2.96-3.20
Np  0.5000  0.0000  0.0000  8 Se 2.92-2.98
Np  0.0000  0.2660  0.0000  8 Se 2.90-3.12
Np  0.0000  0.7340  0.0000  8 Se 2.90-3.12
Se  0.0000  0.6201  0.2402  2 Np 2.90, 2 La 2.96
Se  0.0000  0.3799  0.7598  2 Np 2.90, 2 La 2.96
Se  0.0000  0.1135  0.2271  4 Np 2.98-3.12, 1 Se 3.27
Se  0.0000  0.8865  0.7729  4 Np 2.98-3.12, 1 Se 3.27
Se  0.5000  0.6441  0.7623  3 Np 2.92-3.04, 2 La 3.09-3.20
Se  0.5000  0.1181  0.7622  3 Np 2.92-3.04, 2 La 3.09-3.20
Se  0.5000  0.8819  0.2378  3 Np 2.92-3.04, 2 La 3.09-3.20
Se  0.5000  0.3559  0.2377  3 Np 2.92-3.04, 2 La 3.09-3.20

Results
VASP energy   -7.299 eV/atom

5.
Compound: Mn2Al2V
Source: Alexandria via LeMat-Bulk
Functional: PBE-GGA
Structure: relaxed

a b c (Å): 6.4125 6.4125 3.1949
angles (deg): 90.00 90.00 90.00
Last column: nearest neighbours and their distance in Å.
Element x y z (fractional)
Mn  0.3464  0.8464  0.0000  6 Al 2.41-2.51, 2 V 2.43
Mn  0.8464  0.6536  0.0000  6 Al 2.41-2.51, 2 V 2.43
Mn  0.6536  0.1536  0.0000  6 Al 2.41-2.51, 2 V 2.43
Mn  0.1536  0.3464  0.0000  6 Al 2.41-2.51, 2 V 2.43
Al  0.1475  0.6475  0.5000  6 Mn 2.41-2.51, 1 Al 2.68
Al  0.6475  0.8525  0.5000  6 Mn 2.41-2.51, 1 Al 2.68
Al  0.8525  0.3525  0.5000  6 Mn 2.41-2.51, 1 Al 2.68
Al  0.3525  0.1475  0.5000  6 Mn 2.41-2.51, 1 Al 2.68
V  0.0000  0.0000  0.0000  4 Mn 2.43
V  0.5000  0.5000  0.0000  4 Mn 2.43

Results
VASP energy   -6.948 eV/atom

6.
Compound: Cs3SeCl
Source: Alexandria via LeMat-Bulk
Functional: PBE-GGA
Structure: relaxed

a b c (Å): 6.8803 6.8803 6.8803
angles (deg): 90.00 90.00 90.00
Last column: nearest neighbours and their distance in Å.
Element x y z (fractional)
Cs  0.0000  0.5000  0.0000  2 Se 3.44
Cs  0.0000  0.0000  0.5000  2 Se 3.44
Cs  0.5000  0.0000  0.0000  2 Se 3.44
Se  0.0000  0.0000  0.0000  6 Cs 3.44
Cl  0.5000  0.5000  0.5000  12 Cs 4.87

Results
VASP energy   -2.779 eV/atom

7.
Compound: CdIn
Source: Alexandria via LeMat-Bulk
Functional: PBE-GGA
Structure: relaxed

a b c (Å): 4.7074 4.7074 4.7074
angles (deg): 60.00 60.00 60.00
Last column: nearest neighbours and their distance in Å.
Element x y z (fractional)
Cd  0.0000  0.0000  0.0000  4 In 2.88
In  0.2500  0.2500  0.2500  4 Cd 2.88

Results
VASP energy   -1.442 eV/atom

8.
Compound: KSr2As
Source: Alexandria via LeMat-Bulk
Functional: PBE-GGA
Structure: relaxed

a b c (Å): 4.5845 4.5845 11.6130
angles (deg): 79.00 79.00 59.96
Last column: nearest neighbours and their distance in Å.
Element x y z (fractional)
Sr  0.0378  0.0378  0.8913  3 As 3.09
Sr  0.4622  0.4622  0.6087  3 As 3.09
As  0.7500  0.7500  0.7500  6 Sr 3.09
K  0.2500  0.2500  0.2500  6 K 4.58, 6 Sr 4.83-4.86

Results
VASP energy   -2.923 eV/atom